## ThAgP2 (PBE-GGA)

Data for a relaxed structure of ThAgP2.

Lattice parameters (Å, degrees): 4.3815 4.3815 7.8504 73.80 73.80 60.00
Last column: nearest neighbours and their distance in Å.
Positions (direct):
1 P 0.8939 0.8939 0.3183  1 Ag 2.37
2 P 0.1061 0.1061 0.6817  1 Ag 2.37
3 Th 0.5000 0.5000 0.5000  6 P 2.87
4 Ag 0.0000 0.0000 0.0000  2 P 2.37

## ThAgP (PBE-GGA)

Data for a relaxed structure of ThAgP.

Lattice parameters (Å, degrees): 4.7770 4.7770 8.2210 73.11 73.11 60.00
Last column: nearest neighbours and their distance in Å.
Positions (direct):
1 P 0.7144 0.7144 0.8568  1 Ag 2.66, 4 Th 2.82
2 P 0.2856 0.2856 0.1432  1 Ag 2.66, 4 Th 2.82
3 Th 0.5929 0.5929 0.2213  4 P 2.82
4 Th 0.4071 0.4071 0.7787  4 P 2.82
5 Ag 0.1710 0.1710 0.4869  1 P 2.66, 3 Ag 2.77
6 Ag 0.8290 0.8290 0.5131  1 P 2.66, 3 Ag 2.77

## TiAg2P2 (PBE-GGA)

Data for a relaxed structure of TiAg2P2.

Lattice parameters (Å, degrees): 6.2415 6.2415 4.6336 90.00 90.00 90.00
Last column: nearest neighbours and their distance in Å.
Positions (direct):
1 Ag 0.2290 0.2710 0.5000  2 P 2.49
2 Ag 0.7290 0.2290 0.5000  2 P 2.49
3 Ag 0.7710 0.7290 0.5000  2 P 2.49
4 Ag 0.2710 0.7710 0.5000  2 P 2.49
5 Ti 0.0000 0.0000 0.0000  4 P 2.46
6 Ti 0.5000 0.5000 0.0000  4 P 2.46
7 P 0.3743 0.8743 0.0000  1 P 2.22, 2 Ti 2.46
8 P 0.8743 0.6257 0.0000  1 P 2.22, 2 Ti 2.46
9 P 0.1257 0.3743 0.0000  1 P 2.22, 2 Ti 2.46
10 P 0.6257 0.1257 0.0000  1 P 2.22, 2 Ti 2.46

## TiAgP2 (PBE-GGA)

Data for a relaxed structure of TiAgP2.

Lattice parameters (Å, degrees): 5.9197 5.9197 6.5495 63.13 63.13 90.00
Last column: nearest neighbours and their distance in Å.
Positions (direct):
1 P 0.8750 0.8599 0.7500  2 Ti 2.39, 2 Ag 2.50
2 P 0.1401 0.6250 0.2500  2 Ti 2.39, 2 Ag 2.50
3 P 0.3750 0.3901 0.7500  2 Ti 2.39, 2 Ag 2.50
4 P 0.6099 0.1250 0.2500  2 Ti 2.39, 2 Ag 2.50
5 Ti 0.2500 0.7500 0.5000  4 P 2.39
6 Ti 0.5000 0.5000 0.0000  4 P 2.39
7 Ag 0.0000 0.0000 0.0000  4 P 2.50
8 Ag 0.7500 0.2500 0.5000  4 P 2.50

## TiAgP2 (PBE-GGA)

Data for a relaxed structure of TiAgP2.

Lattice parameters (Å, degrees): 4.4716 4.4716 4.4716 60.00 60.00 60.00
Last column: nearest neighbours and their distance in Å.
Positions (direct):
1 P 0.7500 0.7500 0.7500  4 Ti 2.74, 4 Ag 2.74
2 P 0.2500 0.2500 0.2500  4 Ti 2.74, 4 Ag 2.74
3 Ag 0.5000 0.5000 0.5000  8 P 2.74
4 Ti 0.0000 0.0000 0.0000  8 P 2.74

## Ti2AgP2 (PBE-GGA)

Data for a relaxed structure of Ti2AgP2.

Lattice parameters (Å, degrees): 6.8993 6.8993 3.2150 90.00 90.00 90.00
Last column: nearest neighbours and their distance in Å.
Positions (direct):
1 Ti 0.1463 0.6463 0.5000  6 P 2.57-2.60, 1 Ti 2.85
2 Ti 0.6463 0.8537 0.5000  6 P 2.57-2.60, 1 Ti 2.85
3 Ti 0.3537 0.1463 0.5000  6 P 2.57-2.60, 1 Ti 2.85
4 Ti 0.8537 0.3537 0.5000  6 P 2.57-2.60, 1 Ti 2.85
5 Ag 0.5000 0.5000 0.0000  4 P 2.65
6 Ag 0.0000 0.0000 0.0000  4 P 2.65
7 P 0.6448 0.1448 0.0000  6 Ti 2.57-2.60, 2 Ag 2.65, 1 P 2.83
8 P 0.1448 0.3552 0.0000  6 Ti 2.57-2.60, 2 Ag 2.65, 1 P 2.83
9 P 0.8552 0.6448 0.0000  6 Ti 2.57-2.60, 2 Ag 2.65, 1 P 2.83
10 P 0.3552 0.8552 0.0000  6 Ti 2.57-2.60, 2 Ag 2.65, 1 P 2.83

## TiAg2P (PBE-GGA)

Data for a relaxed structure of TiAg2P.

Lattice parameters (Å, degrees): 3.6947 3.6947 10.6873 80.05 80.05 90.00
Last column: nearest neighbours and their distance in Å.
Positions (direct):
1 Ag 0.8750 0.8730 0.7500  4 Ag 2.60-2.62, 2 P 2.90, 2 Ti 2.90
2 Ag 0.1270 0.6250 0.2500  4 Ag 2.60-2.62, 2 P 2.90, 2 Ti 2.90
3 Ag 0.3750 0.3770 0.7500  4 Ag 2.60-2.62, 2 P 2.90, 2 Ti 2.90
4 Ag 0.6230 0.1250 0.2500  4 Ag 2.60-2.62, 2 P 2.90, 2 Ti 2.90
5 Ti 0.0000 0.0000 0.0000  4 P 2.61, 4 Ag 2.90
6 Ti 0.7500 0.2500 0.5000  4 P 2.61, 4 Ag 2.90
7 P 0.2500 0.7500 0.5000  4 Ti 2.61, 4 Ag 2.90
8 P 0.5000 0.5000 0.0000  4 Ti 2.61, 4 Ag 2.90

## TlAg2P (PBE-GGA)

Data for a relaxed structure of TlAg2P.

Lattice parameters (Å, degrees): 4.5967 4.5967 5.6909 72.13 72.13 52.61
Last column: nearest neighbours and their distance in Å.
Positions (direct):
1 Ag 0.9894 0.9894 0.0640  2 P 2.58
2 Ag 0.2073 0.2073 0.3698  3 P 2.50-2.62
3 P 0.5194 0.5194 0.3257  5 Ag 2.50-2.62
4 Tl 0.7840 0.7840 0.7405  5 Ag 2.90-3.22, 2 P 3.22

## TlAg2P (PBE-GGA)

Data for a relaxed structure of TlAg2P.

Lattice parameters (Å, degrees): 8.6196 8.6196 8.6196 22.50 22.50 22.50
Last column: nearest neighbours and their distance in Å.
Positions (direct):
1 P 0.2500 0.2500 0.2500  6 Ag 2.62
2 Tl 0.7500 0.7500 0.7500  6 Ag 3.11, 6 Tl 3.36
3 Ag 0.9867 0.9867 0.9867  3 P 2.62
4 Ag 0.5133 0.5133 0.5133  3 P 2.62

## Tl2AgP2 (PBE-GGA)

Data for a relaxed structure of Tl2AgP2.

Lattice parameters (Å, degrees): 6.5907 6.5907 5.3809 90.00 90.00 90.00
Last column: nearest neighbours and their distance in Å.
Positions (direct):
1 P 0.6138 0.1138 0.0000  1 P 2.12
2 P 0.3862 0.8862 0.0000  1 P 2.12
3 P 0.8862 0.6138 0.0000  1 P 2.12
4 P 0.1138 0.3862 0.0000  1 P 2.12
5 Tl 0.3015 0.1985 0.5000  6 P 3.21-3.43, 4 Tl 3.36, 4 Ag 3.59
6 Tl 0.8015 0.3015 0.5000  6 P 3.21-3.43, 4 Tl 3.36, 4 Ag 3.59
7 Tl 0.6985 0.8015 0.5000  6 P 3.21-3.43, 4 Tl 3.36, 4 Ag 3.59
8 Tl 0.1985 0.6985 0.5000  6 P 3.21-3.43, 4 Tl 3.36, 4 Ag 3.59
9 Ag 0.0000 0.0000 0.0000  4 P 2.65
10 Ag 0.5000 0.5000 0.0000  4 P 2.65

## TlAg2P2 (PBE-GGA)

Data for a relaxed structure of TlAg2P2.

Lattice parameters (Å, degrees): 4.5382 4.5382 5.9682 67.65 67.65 90.00
Last column: nearest neighbours and their distance in Å.
Positions (direct):
1 P 0.3924 0.3924 0.2152  1 P 2.17
2 P 0.6076 0.6076 0.7848  1 P 2.17
3 Tl 0.0000 0.0000 0.0000  8 P 3.39, 8 Ag 3.39
4 Ag 0.2500 0.7500 0.5000  4 P 2.68
5 Ag 0.7500 0.2500 0.5000  4 P 2.68

## TlAg2P (PBE-GGA)

Data for a relaxed structure of TlAg2P.

Lattice parameters (Å, degrees): 5.3913 5.3913 5.3913 136.00 131.31 67.70
Last column: nearest neighbours and their distance in Å.
Positions (direct):
1 Ag 0.7244 0.2244 0.5000  2 P 2.75, 2 Ag 3.02, 4 Tl 3.02
2 Ag 0.9964 0.9964 0.0000  4 P 3.01, 4 Ag 3.02-3.16, 4 Tl 3.05-3.13
3 P 0.5157 0.5157 0.0000  6 Ag 2.75-3.01, 2 Tl 3.03
4 Tl 0.2635 0.7635 0.5000  8 Ag 3.02-3.13, 4 P 3.03-3.14

## Tl3AgP (PBE-GGA)

Data for a relaxed structure of Tl3AgP.

Lattice parameters (Å, degrees): 5.3655 5.3655 5.3655 90.00 90.00 90.00
Last column: nearest neighbours and their distance in Å.
Positions (direct):
1 Tl 0.5000 0.0000 0.0000  2 P 2.68
2 Tl 0.0000 0.0000 0.5000  2 P 2.68
3 Tl 0.0000 0.5000 0.0000  2 P 2.68
4 Ag 0.5000 0.5000 0.5000  12 Tl 3.79
5 P 0.0000 0.0000 0.0000  6 Tl 2.68

## Tl2Ag2P (PBE-GGA)

Data for a relaxed structure of Tl2Ag2P.

Lattice parameters (Å, degrees): 6.7339 6.7339 5.2984 90.00 90.00 90.00
Last column: nearest neighbours and their distance in Å.
Positions (direct):
1 Ag 0.1599 0.3401 0.0000  2 P 2.53
2 Ag 0.6599 0.1599 0.0000  2 P 2.53
3 Ag 0.8401 0.6599 0.0000  2 P 2.53
4 Ag 0.3401 0.8401 0.0000  2 P 2.53
5 P 0.0000 0.0000 0.0000  4 Ag 2.53
6 P 0.5000 0.5000 0.0000  4 Ag 2.53
7 Tl 0.1742 0.6742 0.5000  2 Ag 3.08, 1 Tl 3.32
8 Tl 0.6742 0.8258 0.5000  2 Ag 3.08, 1 Tl 3.32
9 Tl 0.3258 0.1742 0.5000  2 Ag 3.08, 1 Tl 3.32
10 Tl 0.8258 0.3258 0.5000  2 Ag 3.08, 1 Tl 3.32

## TlAgP2 (PBE-GGA)

Data for a relaxed structure of TlAgP2.

Lattice parameters (Å, degrees): 5.1593 5.1593 2.9792 90.00 90.00 90.00
Last column: nearest neighbours and their distance in Å.
Positions (direct):
1 P 0.0000 0.0000 0.0000  4 Tl 2.98, 4 Ag 2.98, 2 P 2.98
2 P 0.5000 0.5000 0.0000  4 Tl 2.98, 4 Ag 2.98, 2 P 2.98
3 Tl 0.5000 0.0000 0.5000  8 P 2.98, 2 Tl 2.98
4 Ag 0.0000 0.5000 0.5000  8 P 2.98, 2 Ag 2.98

## TlAgP2 (PBE-GGA)

Data for a relaxed structure of TlAgP2.

Lattice parameters (Å, degrees): 7.1859 7.1859 7.1859 154.05 147.13 42.35
Last column: nearest neighbours and their distance in Å.
Positions (direct):
1 Ag 0.2296 0.7296 0.5000  4 P 2.77
2 Tl 0.5521 0.5521 0.0000  2 Ag 3.13, 4 P 3.17, 2 Tl 3.23
3 P 0.9163 0.9163 0.0000  2 P 2.22
4 P 0.8021 0.3021 0.5000  2 P 2.22

## Tl2AgP2 (PBE-GGA)

Data for a relaxed structure of Tl2AgP2.

Lattice parameters (Å, degrees): 3.3528 3.3528 10.4635 80.78 80.78 90.00
Last column: nearest neighbours and their distance in Å.
Positions (direct):
1 P 0.7500 0.2500 0.5000  4 P 2.37
2 P 0.2500 0.7500 0.5000  4 P 2.37
3 Tl 0.6058 0.6058 0.7884  4 Ag 3.21, 4 Tl 3.35, 4 P 3.38
4 Tl 0.3942 0.3942 0.2116  4 Ag 3.21, 4 Tl 3.35, 4 P 3.38
5 Ag 0.0000 0.0000 0.0000  8 Tl 3.21, 4 Ag 3.35

## TlAg4P (PBE-GGA)

Data for a relaxed structure of TlAg4P.

Lattice parameters (Å, degrees): 5.5696 5.5696 5.5696 60.00 60.00 60.00
Last column: nearest neighbours and their distance in Å.
Positions (direct):
1 P 0.7500 0.7500 0.7500  12 Ag 3.27, 4 Tl 3.41
2 Ag 0.3752 0.3752 0.3752  6 Ag 2.78-2.79
3 Ag 0.3752 0.3752 0.8745  6 Ag 2.78-2.79
4 Ag 0.3752 0.8745 0.3752  6 Ag 2.78-2.79
5 Ag 0.8745 0.3752 0.3752  6 Ag 2.78-2.79
6 Tl 0.0000 0.0000 0.0000  12 Ag 3.27, 4 P 3.41

## TlAg2P (PBE-GGA)

Data for a relaxed structure of TlAg2P.

Lattice parameters (Å, degrees): 5.2531 5.2531 5.2531 131.76 131.76 70.60
Last column: nearest neighbours and their distance in Å.
Positions (direct):
1 P 0.2500 0.7500 0.5000  8 Ag 3.03, 4 Tl 3.04
2 Ag 0.5000 0.5000 0.0000  4 P 3.03, 4 Tl 3.03, 4 Ag 3.04
3 Ag 0.0000 0.0000 0.0000  4 Tl 3.03, 4 P 3.03, 4 Ag 3.04
4 Tl 0.7500 0.2500 0.5000  8 Ag 3.03, 4 P 3.04

## TlAgP3 (PBE-GGA)

Data for a relaxed structure of TlAgP3.

Lattice parameters (Å, degrees): 4.9351 4.9351 4.9351 90.00 90.00 90.00
Last column: nearest neighbours and their distance in Å.
Positions (direct):
1 Ag 0.0000 0.0000 0.0000  6 P 2.47
2 P 0.5000 0.0000 0.0000  2 Ag 2.47
3 P 0.0000 0.0000 0.5000  2 Ag 2.47
4 P 0.0000 0.5000 0.0000  2 Ag 2.47
5 Tl 0.5000 0.5000 0.5000  12 P 3.49

| no. | total moment (μB/cell) | ΔH_f (0 K) (kJ/mol of atoms) |
| --- | --- | --- |
| 1 | 0.000 | -31.3 |
| 2 | 0.000 | -62.8 |
| 3 | 0.000 | -13.8 |
| 4 | 0.000 | -2.5 |
| 5 | 0.000 | -2.7 |
| 6 | 0.000 | -67.2 |
| 7 | 0.000 | -4.3 |
| 8 | 0.000 | 21.2 |
| 9 | 0.000 | 28.9 |
| 10 | 0.000 | 12.1 |
| 11 | 0.000 | 9.4 |
| 12 | 0.000 | 31.7 |
| 13 | 0.000 | 45.5 |
| 14 | 0.000 | 17.6 |
| 15 | 0.000 | 61.1 |
| 16 | 0.000 | 20.3 |
| 17 | 0.000 | 22.3 |
| 18 | 0.000 | 30.2 |
| 19 | 0.000 | 31.9 |
| 20 | 1.222 | 101.2 |